(1)
# TbPmDyPu

A relaxed structure of TbPmDyPu (PBE-GGA, Alexandria via LeMat-Bulk).

Lattice parameters (Å, degrees): 5.629 5.629 5.629 60.00 60.00 60.00
Site moments in Bohr magnetons follow the coordinates.
Fractional coordinates of all 4 atoms:
Dy: 0.750 0.750 0.750  0.34
Pm: 0.000 0.000 0.000  0.27
Pu: 0.250 0.250 0.250  5.63
Tb: 0.500 0.500 0.500  0.33

Summary:
Theoretical density, g/cm³: 9.35
V, Å³ per cell: 126.1
Density of states at the Fermi level, states/eV per cell: 11.493
Symmetry: F-43m (216)
Formation enthalpy at 0 K, meV per atom: 208

---

(2)
# Tb2Pm3Dy6Pu

A relaxed structure of Tb2Pm3Dy6Pu (PBE-GGA, Alexandria via LeMat-Bulk).

Lattice parameters (Å, degrees): 6.174 6.174 11.742 95.04 95.04 120.03
Site moments in Bohr magnetons follow the coordinates.
Fractional coordinates of all 12 atoms:
Tb: 0.333 0.667 0.000  0.08
Tb: 0.667 0.333 0.000  0.08
Dy: 0.753 0.753 0.246  0.05
Pm: 0.167 0.833 0.500  -0.02
Dy: 0.082 0.411 0.246  0.05
Pm: 0.500 0.500 0.500  -0.02
Dy: 0.247 0.247 0.754  0.05
Pu: 0.000 0.000 0.000  5.58
Dy: 0.918 0.589 0.754  0.05
Dy: 0.589 0.918 0.754  0.05
Pm: 0.833 0.167 0.500  -0.02
Dy: 0.411 0.082 0.246  0.05

Summary:
Theoretical density, g/cm³: 8.58
V, Å³ per cell: 381.5
Density of states at the Fermi level, states/eV per cell: 23.442
Symmetry: C2/m (12)
Formation enthalpy at 0 K, meV per atom: 42

---

(3)
# PmDyPu2Te5

A relaxed structure of PmDyPu2Te5 (PBE-GGA, Alexandria via LeMat-Bulk).

Lattice parameters (Å, degrees): 5.525 5.525 11.730 90.00 90.00 90.00
Site moments in Bohr magnetons follow the coordinates.
Fractional coordinates of all 9 atoms:
Te: 0.000 0.000 0.247  -0.03
Dy: 0.000 0.000 0.500  0.06
Te: 0.000 0.500 0.500  -0.04
Pm: 0.000 0.000 0.000  0.04
Pu: 0.500 0.500 0.677  5.76
Te: 0.000 0.000 0.753  -0.03
Pu: 0.500 0.500 0.323  5.76
Te: 0.500 0.000 0.500  -0.04
Te: 0.500 0.500 0.000  -0.03

Summary:
Theoretical density, g/cm³: 6.65
V, Å³ per cell: 358.1
Density of states at the Fermi level, states/eV per cell: 32.707
Energy relative to the elements, uncorrected, eV per atom: -0.701
Symmetry: P4/mmm (123)

---

(4)
# PmDy2Pu3Te6

A relaxed structure of PmDy2Pu3Te6 (PBE-GGA, Alexandria via LeMat-Bulk).

Lattice parameters (Å, degrees): 4.389 8.860 9.890 103.69 102.82 90.00
Site moments in Bohr magnetons follow the coordinates.
Fractional coordinates of all 12 atoms:
Te: 0.668 0.580 0.336  0.04
Te: 0.002 0.254 0.004  0.04
Pu: 0.165 0.833 0.330  -5.58
Pu: 0.835 0.167 0.670  -5.58
Te: 0.998 0.746 0.996  0.04
Pu: 0.500 0.500 0.000  -5.56
Te: 0.668 0.088 0.337  0.04
Pm: 0.500 0.000 0.000  -0.02
Te: 0.332 0.912 0.663  0.04
Dy: 0.834 0.668 0.668  -0.04
Dy: 0.166 0.332 0.332  -0.04
Te: 0.332 0.420 0.664  0.04

Summary:
Theoretical density, g/cm³: 8.98
V, Å³ per cell: 363.8
Density of states at the Fermi level, states/eV per cell: 32.721
Energy relative to the elements, uncorrected, eV per atom: -1.232
Symmetry: C2/m (12)

---

(5)
# Pm3Dy2PuTe6

A relaxed structure of Pm3Dy2PuTe6 (PBE-GGA, Alexandria via LeMat-Bulk).

Lattice parameters (Å, degrees): 4.393 8.895 9.904 103.36 102.81 90.00
Site moments in Bohr magnetons follow the coordinates.
Fractional coordinates of all 12 atoms:
Pm: 0.835 0.166 0.670  0.02
Pm: 0.165 0.834 0.330  0.02
Te: 0.333 0.911 0.667  -0.01
Te: 0.667 0.089 0.333  -0.01
Te: 0.670 0.578 0.340  0.00
Dy: 0.836 0.672 0.673  0.04
Pm: 0.500 0.500 0.000  -0.01
Dy: 0.164 0.328 0.327  0.04
Pu: 0.500 0.000 0.000  5.56
Te: 0.002 0.248 0.003  -0.03
Te: 0.330 0.422 0.660  0.00
Te: 0.998 0.752 0.997  -0.03

Summary:
Theoretical density, g/cm³: 8.01
V, Å³ per cell: 366.7
Density of states at the Fermi level, states/eV per cell: 12.408
Energy relative to the elements, uncorrected, eV per atom: -1.329
Symmetry: C2/m (12)

---

(6)
# Pm2DyPu3Te6

A relaxed structure of Pm2DyPu3Te6 (PBE-GGA, Alexandria via LeMat-Bulk).

Lattice parameters (Å, degrees): 4.419 8.876 9.897 102.60 102.90 90.00
Site moments in Bohr magnetons follow the coordinates.
Fractional coordinates of all 12 atoms:
Pu: 0.500 0.500 0.000  -5.54
Te: 0.666 0.588 0.332  -0.01
Pm: 0.833 0.663 0.666  0.00
Pu: 0.169 0.836 0.337  5.53
Te: 0.665 0.082 0.329  -0.05
Dy: 0.500 0.000 0.000  0.02
Te: 0.335 0.918 0.671  -0.05
Te: 0.334 0.412 0.668  -0.01
Pu: 0.831 0.164 0.663  5.53
Te: 0.999 0.245 0.998  0.02
Pm: 0.167 0.337 0.334  0.00
Te: 0.001 0.755 0.002  0.02

Summary:
Theoretical density, g/cm³: 8.78
V, Å³ per cell: 368.8
Density of states at the Fermi level, states/eV per cell: 35.038
Energy relative to the elements, uncorrected, eV per atom: -1.245
Symmetry: C2/m (12)

---

(7)
# Pm3Dy3PuTe8

A relaxed structure of Pm3Dy3PuTe8 (PBE-GGA, Alexandria via LeMat-Bulk).

Lattice parameters (Å, degrees): 8.788 8.788 8.810 119.92 90.00 120.00
Site moments in Bohr magnetons follow the coordinates.
Fractional coordinates of all 15 atoms:
Te: 0.747 0.494 0.741  0.00
Te: 0.256 0.513 0.750  0.02
Pu: 0.000 0.000 0.500  -5.50
Te: 0.744 0.487 0.250  0.02
Pm: 0.500 0.500 0.000  -0.04
Pm: 0.000 0.000 0.000  -0.04
Te: 0.744 0.006 0.250  0.02
Te: 0.253 0.506 0.259  0.00
Dy: 0.000 0.500 0.500  -0.05
Te: 0.738 0.994 0.750  0.02
Dy: 0.500 0.000 0.500  -0.05
Pm: 0.000 0.500 0.000  -0.04
Te: 0.262 0.006 0.250  0.02
Dy: 0.500 0.500 0.500  -0.05
Te: 0.256 0.994 0.750  0.02

Summary:
Theoretical density, g/cm³: 7.54
V, Å³ per cell: 481.7
Density of states at the Fermi level, states/eV per cell: 20.341
Energy relative to the elements, uncorrected, eV per atom: -1.357
Symmetry: R-3m (166)

---

(8)
# Pm3DyPu2Te6

A relaxed structure of Pm3DyPu2Te6 (PBE-GGA, Alexandria via LeMat-Bulk).

Lattice parameters (Å, degrees): 4.415 8.908 9.931 103.36 102.84 90.00
Site moments in Bohr magnetons follow the coordinates.
Fractional coordinates of all 12 atoms:
Pm: 0.500 0.500 0.000  0.04
Pm: 0.832 0.166 0.664  0.01
Te: 0.668 0.581 0.335  -0.04
Te: 0.000 0.756 0.000  -0.01
Pu: 0.834 0.667 0.668  5.55
Pm: 0.168 0.834 0.336  0.01
Te: 0.332 0.419 0.665  -0.04
Te: 0.664 0.085 0.328  -0.03
Pu: 0.166 0.333 0.332  5.55
Te: 0.336 0.915 0.672  -0.03
Dy: 0.500 0.000 0.000  0.05
Te: 0.000 0.244 0.000  -0.01

Summary:
Theoretical density, g/cm³: 8.31
V, Å³ per cell: 369.9
Density of states at the Fermi level, states/eV per cell: 23.789
Energy relative to the elements, uncorrected, eV per atom: -1.300
Symmetry: C2/m (12)

---

(9)
# PmDy3Pu2Te6

A relaxed structure of PmDy3Pu2Te6 (PBE-GGA, Alexandria via LeMat-Bulk).

Lattice parameters (Å, degrees): 4.377 8.832 9.848 103.35 102.84 90.00
Site moments in Bohr magnetons follow the coordinates.
Fractional coordinates of all 12 atoms:
Dy: 0.165 0.834 0.331  0.01
Pu: 0.834 0.667 0.668  5.59
Te: 0.666 0.587 0.332  -0.04
Dy: 0.500 0.500 0.000  0.04
Te: 0.001 0.744 0.002  -0.01
Pm: 0.500 0.000 0.000  0.04
Te: 0.334 0.413 0.668  -0.04
Te: 0.999 0.256 0.998  -0.01
Te: 0.331 0.918 0.662  -0.03
Dy: 0.835 0.166 0.669  0.01
Pu: 0.166 0.333 0.332  5.59
Te: 0.669 0.082 0.338  -0.03

Summary:
Theoretical density, g/cm³: 8.68
V, Å³ per cell: 360.6
Density of states at the Fermi level, states/eV per cell: 23.032
Energy relative to the elements, uncorrected, eV per atom: -1.263
Symmetry: C2/m (12)

---

(10)
# PmDyPuTl

A relaxed structure of PmDyPuTl (PBE-GGA, Alexandria via LeMat-Bulk).

Lattice parameters (Å, degrees): 5.478 5.478 5.478 60.00 60.00 60.00
Site moments in Bohr magnetons follow the coordinates.
Fractional coordinates of all 4 atoms:
Pm: 0.500 0.500 0.500  0.36
Tl: 0.000 0.000 0.000  -0.02
Dy: 0.750 0.750 0.750  0.27
Pu: 0.250 0.250 0.250  5.58

Summary:
Theoretical density, g/cm³: 10.80
V, Å³ per cell: 116.2
Density of states at the Fermi level, states/eV per cell: 10.932
Symmetry: F-43m (216)
Formation enthalpy at 0 K, meV per atom: 100

---

(11)
# Pm2Dy3Tm6Pu

A relaxed structure of Pm2Dy3Tm6Pu (PBE-GGA, Alexandria via LeMat-Bulk).

Lattice parameters (Å, degrees): 6.104 6.104 11.599 95.05 95.05 120.02
Site moments in Bohr magnetons follow the coordinates.
Fractional coordinates of all 12 atoms:
Dy: 0.500 0.500 0.500  -0.04
Tm: 0.412 0.083 0.250  0.04
Tm: 0.588 0.917 0.750  0.04
Pu: 0.000 0.000 0.000  5.56
Dy: 0.167 0.833 0.500  -0.03
Dy: 0.833 0.167 0.500  -0.03
Tm: 0.917 0.588 0.750  0.04
Tm: 0.083 0.412 0.250  0.04
Tm: 0.246 0.246 0.750  0.04
Pm: 0.333 0.667 0.000  0.04
Pm: 0.667 0.333 0.000  0.04
Tm: 0.754 0.754 0.250  0.04

Summary:
Theoretical density, g/cm³: 9.17
V, Å³ per cell: 368.4
Density of states at the Fermi level, states/eV per cell: 24.112
Symmetry: C2/m (12)
Formation enthalpy at 0 K, meV per atom: 47

---

(12)
# Pm3Dy2Tm6Pu

A relaxed structure of Pm3Dy2Tm6Pu (PBE-GGA, Alexandria via LeMat-Bulk).

Lattice parameters (Å, degrees): 6.119 6.119 11.599 95.05 95.05 120.00
Site moments in Bohr magnetons follow the coordinates.
Fractional coordinates of all 12 atoms:
Tm: 0.753 0.753 0.246  0.06
Tm: 0.589 0.918 0.754  0.06
Pu: 0.000 0.000 0.000  5.57
Dy: 0.333 0.667 0.000  0.08
Tm: 0.411 0.082 0.246  0.06
Tm: 0.082 0.411 0.246  0.06
Pm: 0.167 0.833 0.500  -0.03
Pm: 0.500 0.500 0.500  -0.03
Pm: 0.833 0.167 0.500  -0.03
Tm: 0.918 0.589 0.754  0.06
Dy: 0.667 0.333 0.000  0.08
Tm: 0.247 0.247 0.754  0.06

Summary:
Theoretical density, g/cm³: 9.05
V, Å³ per cell: 370.3
Density of states at the Fermi level, states/eV per cell: 22.134
Symmetry: C2/m (12)
Formation enthalpy at 0 K, meV per atom: 41

---

Please write out number 12 again, unchanged.
# Pm3Dy2Tm6Pu

A relaxed structure of Pm3Dy2Tm6Pu (PBE-GGA, Alexandria via LeMat-Bulk).

Lattice parameters (Å, degrees): 6.119 6.119 11.599 95.05 95.05 120.00
Site moments in Bohr magnetons follow the coordinates.
Fractional coordinates of all 12 atoms:
Tm: 0.753 0.753 0.246  0.06
Tm: 0.589 0.918 0.754  0.06
Pu: 0.000 0.000 0.000  5.57
Dy: 0.333 0.667 0.000  0.08
Tm: 0.411 0.082 0.246  0.06
Tm: 0.082 0.411 0.246  0.06
Pm: 0.167 0.833 0.500  -0.03
Pm: 0.500 0.500 0.500  -0.03
Pm: 0.833 0.167 0.500  -0.03
Tm: 0.918 0.589 0.754  0.06
Dy: 0.667 0.333 0.000  0.08
Tm: 0.247 0.247 0.754  0.06

Summary:
Theoretical density, g/cm³: 9.05
V, Å³ per cell: 370.3
Density of states at the Fermi level, states/eV per cell: 22.134
Symmetry: C2/m (12)
Formation enthalpy at 0 K, meV per atom: 41

---

Question: Look up the theoretical density of the fourth one.
Answer: 8.98 g/cm³